# La2MgZrO6

La2MgZrO6 after structural relaxation (PBE, Alexandria).

Its total energy is -165.35 eV/cell.

```
La2MgZrO6
1.0
5.704 0.000 0.000
0.000 5.844 0.000
0.051 0.000 8.162
La Mg Zr O
4 2 2 12
Direct
0.013 0.953 0.252
0.513 0.547 0.752
0.987 0.047 0.748
0.487 0.453 0.248
0.500 0.000 0.000
0.000 0.500 0.500
0.500 0.000 0.500
0.000 0.500 0.000
0.297 0.701 0.053
0.797 0.799 0.553
0.703 0.299 0.947
0.203 0.201 0.447
0.298 0.704 0.443
0.798 0.796 0.943
0.702 0.296 0.557
0.202 0.204 0.057
0.897 0.537 0.249
0.397 0.963 0.749
0.103 0.463 0.751
0.603 0.037 0.251
```